Record 1
The following is a DFT calculation (meta-GGA SCAN) of a crystal of CdCo2Ir relaxed with PBEsol.

The space group is R3m (No. 160, hexagonal axes) and the conventional cell measures 2.6954, 2.6954 and 25.8001 Å, with angles of 90.00, 90.00 and 120.00 degrees. The distinct sites, in fractional coordinates, are Cd at (0.0000, 0.0000, 0.0000), Co at (0.0000, 0.0000, 0.4928), Co at (0.0000, 0.0000, 0.7555) and Ir at (0.0000, 0.0000, 0.2380).

The energy of formation from the pure elements comes out at 0.234 eV/atom. As for the magnetization: 12.5 Bohr magnetons per cell. As for the crystal system: trigonal.

Record 2
The following is a DFT calculation (meta-GGA SCAN) of a crystal of MgZnIn relaxed with PBEsol.

The space group is Imm2 (No. 44) and the conventional cell measures 3.2124, 4.2030 and 8.8442 Å, with angles of 90.00, 90.00 and 90.00 degrees. The distinct sites, in fractional coordinates, are Mg at (0.0000, 0.0000, 0.0000), Zn at (0.0000, 0.0000, 0.3366) and In at (0.0000, 0.0000, 0.6725).

The energy of formation from the pure elements comes out at -0.036 eV/atom. As for the magnetization: 0.0 Bohr magnetons per cell. As for the crystal system: orthorhombic.

Record 3
The following is a DFT calculation (meta-GGA SCAN) of a crystal of KLi2Bi2 relaxed with PBEsol.

The space group is I4/mmm (No. 139) and the conventional cell measures 4.8758, 4.8758 and 11.9568 Å, with angles of 90.00, 90.00 and 90.00 degrees. The distinct sites, in fractional coordinates, are K at (0.0000, 0.0000, 0.0000), Li at (0.0000, 0.5000, 0.2500) and Bi at (0.0000, 0.0000, 0.3767).

The energy of formation from the pure elements comes out at -0.434 eV/atom. As for the magnetization: 0.0 Bohr magnetons per cell. Its offset from the most stable computed form is 0 kJ/mol of formula units. As for the crystal system: tetragonal.

Record 4
The following is a DFT calculation (meta-GGA SCAN) of a crystal of BeOs2Ru relaxed with PBEsol.

The space group is P4mm (No. 99) and the conventional cell measures 2.7500, 2.7500 and 6.4585 Å, with angles of 90.00, 90.00 and 90.00 degrees. The distinct sites, in fractional coordinates, are Be at (0.0000, 0.0000, 0.0000), Os at (0.0000, 0.0000, 0.5050), Os at (0.5000, 0.5000, 0.2204) and Ru at (0.5000, 0.5000, 0.7873).

The energy of formation from the pure elements comes out at -0.098 eV/atom. As for the magnetization: 0.0 Bohr magnetons per cell. As for the crystal system: tetragonal.

Record 5
The following is a DFT calculation (meta-GGA SCAN) of a crystal of LaTcPt2 relaxed with PBEsol.

The space group is Pm (No. 6) and the conventional cell measures 2.8867, 4.6779 and 5.2873 Å, with angles of 90.00, 90.30 and 90.00 degrees. The distinct sites, in fractional coordinates, are La at (0.0000, 0.0000, 0.0000), Tc at (0.0071, 0.5000, 0.6241), Pt at (0.5019, 0.5000, 0.1946) and Pt at (0.5026, 0.0000, 0.5130).

The energy of formation from the pure elements comes out at -0.336 eV/atom. As for the magnetization: 0.0 Bohr magnetons per cell. Its offset from the most stable computed form is 0 kJ/mol of formula units. As for the crystal system: monoclinic.

Record 6
The following is a DFT calculation (meta-GGA SCAN) of a crystal of Ba2InCu2 relaxed with PBEsol.

The space group is I4/mmm (No. 139) and the conventional cell measures 6.1894, 6.1894 and 7.6892 Å, with angles of 90.00, 90.00 and 90.00 degrees. The distinct sites, in fractional coordinates, are Ba at (0.0000, 0.5000, 0.2500), In at (0.0000, 0.0000, 0.0000) and Cu at (0.0000, 0.0000, 0.3487).

The energy of formation from the pure elements comes out at -0.064 eV/atom. As for the magnetization: 0.0 Bohr magnetons per cell. As for the crystal system: tetragonal.

Record 7
The following is a DFT calculation (meta-GGA SCAN) of a crystal of TcC2F relaxed with PBEsol.

The space group is I-42d (No. 122) and the conventional cell measures 4.7065, 4.7065 and 9.2484 Å, with angles of 90.00, 90.00 and 90.00 degrees. The distinct sites, in fractional coordinates, are Tc at (0.0000, 0.0000, 0.0000), C at (0.1906, 0.2500, 0.1250) and F at (0.0000, 0.0000, 0.5000).

As for the magnetization: 0.0 Bohr magnetons per cell. For the uncorrected formation energy, the calculation gives 1.05 eV/atom. As for the crystal system: tetragonal.

Record 8
The following is a DFT calculation (meta-GGA SCAN) of a crystal of BaSiW2 relaxed with PBEsol.

The space group is Imm2 (No. 44) and the conventional cell measures 3.0393, 5.7766 and 10.0349 Å, with angles of 90.00, 90.00 and 90.00 degrees. The distinct sites, in fractional coordinates, are Ba at (0.0000, 0.0000, 0.0000), Si at (0.0000, 0.5000, 0.7872), W at (0.0000, 0.0000, 0.5026) and W at (0.0000, 0.5000, 0.1960).

As for the magnetization: 0.0 Bohr magnetons per cell. For the uncorrected formation energy, the calculation gives 1.28 eV/atom. Its offset from the most stable computed form is 188 kJ/mol of formula units. As for the crystal system: orthorhombic.

Record 9
The following is a DFT calculation (meta-GGA SCAN) of a crystal of WAu3 relaxed with PBEsol.

The space group is Immm (No. 71) and the conventional cell measures 2.7497, 4.9742 and 9.9116 Å, with angles of 90.00, 90.00 and 90.00 degrees. The distinct sites, in fractional coordinates, are W at (0.0000, 0.0000, 0.0000), Au at (0.0000, 0.0000, 0.5000) and Au at (0.0000, 0.5000, 0.2594).

The energy of formation from the pure elements comes out at 0.391 eV/atom. As for the magnetization: 0.0 Bohr magnetons per cell. As for the crystal system: orthorhombic.

Record 10
The following is a DFT calculation (meta-GGA SCAN) of a crystal of TaTiBe4 relaxed with PBEsol.

The space group is F-43m (No. 216) and the conventional cell measures 6.4123, 6.4123 and 6.4123 Å, with angles of 90.00, 90.00 and 90.00 degrees. The distinct sites, in fractional coordinates, are Ta at (0.0000, 0.0000, 0.0000), Ti at (0.2500, 0.2500, 0.7500) and Be at (0.1251, 0.1251, 0.3749).

The energy of formation from the pure elements comes out at -0.186 eV/atom. As for the magnetization: 9.6 Bohr magnetons per cell. As for the crystal system: cubic.

Record 11
The following is a DFT calculation (meta-GGA SCAN) of a crystal of AlRu2Pb relaxed with PBEsol.

The space group is Cm (No. 8) and the conventional cell measures 9.7125, 3.0316 and 4.5836 Å, with angles of 90.00, 109.96 and 90.00 degrees. The distinct sites, in fractional coordinates, are Al at (0.0000, 0.0000, 0.0000), Ru at (0.2450, 0.5000, 0.1105), Ru at (0.4777, 0.0000, 0.4928) and Pb at (0.2277, 0.0000, 0.6088).

The energy of formation from the pure elements comes out at 0.112 eV/atom. As for the magnetization: 0.0 Bohr magnetons per cell. Its offset from the most stable computed form is 0 kJ/mol of formula units. As for the crystal system: monoclinic.

Record 12
The following is a DFT calculation (meta-GGA SCAN) of a crystal of MnBe2Zn relaxed with PBEsol.

The space group is Cmmm (No. 65) and the conventional cell measures 2.8138, 3.8165 and 7.5074 Å, with angles of 90.00, 90.00 and 90.00 degrees. The distinct sites, in fractional coordinates, are Mn at (0.0000, 0.0000, 0.0000), Be at (0.0000, 0.5000, 0.2300) and Zn at (0.0000, 0.0000, 0.5000).

The energy of formation from the pure elements comes out at 0.042 eV/atom. As for the magnetization: 2.7 Bohr magnetons per cell. As for the crystal system: orthorhombic.